# 1
# BePI3 PBE-GGA optimized geometry
data_BePI3
_chemical_formula_sum 'Be1 P1 I3'
_space_group_name_H-M_alt 'P m -3 m'
_space_group_IT_number 221
_space_group_name_Hall '-P 4 2 3'
_cell_length_a 5.211
_cell_length_b 5.211
_cell_length_c 5.211
_cell_angle_alpha 90.00
_cell_angle_beta 90.00
_cell_angle_gamma 90.00
loop_
_atom_site_label
_atom_site_fract_x
_atom_site_fract_y
_atom_site_fract_z
Be1 0.000 0.000 0.000
P1 0.500 0.500 0.500
I1 0.000 0.000 0.500
# Total energy (eV/atom): -2.0810
# ΔE to the lowest computed polymorph (kJ per mole of atoms): 0.00
# DOS at the Fermi energy (states/eV/f.u.): 6.44



# 2
# BeP2I PBE-GGA optimized geometry
data_BeP2I
_chemical_formula_sum 'Be4 P8 I4'
_space_group_name_H-M_alt 'F m -3 m'
_space_group_IT_number 225
_space_group_name_Hall '-F 4 2 3'
_cell_length_a 6.581
_cell_length_b 6.581
_cell_length_c 6.581
_cell_angle_alpha 90.00
_cell_angle_beta 90.00
_cell_angle_gamma 90.00
loop_
_atom_site_label
_atom_site_fract_x
_atom_site_fract_y
_atom_site_fract_z
Be1 0.000 0.000 0.000
P1 0.250 0.250 0.250
I1 0.000 0.000 0.500
# Total energy (eV/atom): -2.7743
# ΔE to the lowest computed polymorph (kJ per mole of atoms): 70.22
# DOS at the Fermi energy (states/eV/f.u.): 3.34



# 3
# Be3PI PBE-GGA optimized geometry
data_Be3PI
_chemical_formula_sum 'Be3 P1 I1'
_space_group_name_H-M_alt 'P m -3 m'
_space_group_IT_number 221
_space_group_name_Hall '-P 4 2 3'
_cell_length_a 4.681
_cell_length_b 4.681
_cell_length_c 4.681
_cell_angle_alpha 90.00
_cell_angle_beta 90.00
_cell_angle_gamma 90.00
loop_
_atom_site_label
_atom_site_fract_x
_atom_site_fract_y
_atom_site_fract_z
Be1 0.000 0.000 0.500
P1 0.500 0.500 0.500
I1 0.000 0.000 0.000
# Total energy (eV/atom): -1.8595
# ΔE to the lowest computed polymorph (kJ per mole of atoms): 108.42
# DOS at the Fermi energy (states/eV/f.u.): 1.33



# 4
# BePI PBE-GGA optimized geometry
data_BePI
_chemical_formula_sum 'Be4 P4 I4'
_space_group_name_H-M_alt 'C 1 2/m 1'
_space_group_IT_number 12
_cell_length_a 13.451
_cell_length_b 7.069
_cell_length_c 3.882
_cell_angle_alpha 90.00
_cell_angle_beta 92.63
_cell_angle_gamma 90.00
loop_
_space_group_symop_operation_xyz
'x,y,z'
'-x,-y,-z'
'-x,y,-z'
'x,-y,z'
'x+1/2,y+1/2,z'
'-x+1/2,-y+1/2,-z'
'-x+1/2,y+1/2,-z'
'x+1/2,-y+1/2,z'
loop_
_atom_site_label
_atom_site_fract_x
_atom_site_fract_y
_atom_site_fract_z
Be1 0.000 0.218 0.000
P1 0.000 0.356 0.500
I1 0.143 0.000 0.023
# Total energy (eV/atom): -3.7625
# DOS at the Fermi energy (states/eV/f.u.): 0.16



# 5
# BeP2I PBE-GGA optimized geometry
data_BeP2I
_chemical_formula_sum 'Be4 P8 I4'
_space_group_name_H-M_alt 'I -4 2 d'
_space_group_IT_number 122
_space_group_name_Hall 'I -4 2bw'
_cell_length_a 5.960
_cell_length_b 5.960
_cell_length_c 9.896
_cell_angle_alpha 90.00
_cell_angle_beta 90.00
_cell_angle_gamma 90.00
loop_
_atom_site_label
_atom_site_fract_x
_atom_site_fract_y
_atom_site_fract_z
Be1 0.000 0.000 0.000
P1 0.138 0.250 0.125
I1 0.000 0.000 0.500
# Total energy (eV/atom): -3.5020
# ΔE to the lowest computed polymorph (kJ per mole of atoms): 0.00
# DOS at the Fermi energy (states/eV/f.u.): 3.13



# 6
# Be3PI PBE-GGA optimized geometry
data_Be3PI
_chemical_formula_sum 'Be3 P1 I1'
_space_group_name_H-M_alt 'P m -3 m'
_space_group_IT_number 221
_space_group_name_Hall '-P 4 2 3'
_cell_length_a 4.383
_cell_length_b 4.383
_cell_length_c 4.383
_cell_angle_alpha 90.00
_cell_angle_beta 90.00
_cell_angle_gamma 90.00
loop_
_atom_site_label
_atom_site_fract_x
_atom_site_fract_y
_atom_site_fract_z
Be1 0.000 0.000 0.500
P1 0.000 0.000 0.000
I1 0.500 0.500 0.500
# Total energy (eV/atom): -2.9832
# ΔE to the lowest computed polymorph (kJ per mole of atoms): 0.00
# DOS at the Fermi energy (states/eV/f.u.): 3.02



Number 1: formation energy (no corrections) 0.676 eV per atom, size of the total moment 0.191 μB per atom. Number 2: formation energy (no corrections) 1.250 eV per atom, size of the total moment 0.000 μB per atom. Number 3: formation energy (no corrections) 1.768 eV per atom, size of the total moment 0.000 μB per atom. Number 4: formation energy (no corrections) -0.200 eV per atom, size of the total moment 0.000 μB per atom. Number 5: formation energy (no corrections) 0.522 eV per atom, size of the total moment 0.000 μB per atom. Number 6: formation energy (no corrections) 0.645 eV per atom, size of the total moment 0.000 μB per atom.